Computed, not measured: an optimized crystal structure of Rb6I2O at the PBE-GGA level of DFT.

Properties
For the uncorrected formation energy, the calculation gives -938.3 meV per atom. Its offset from the most stable computed form is 0.00 eV/f.u.

Cell lengths 8.5358, 9.2766, 11.7817 Å; angles 90.00, 90.76, 90.00 degrees
Last column: nearest neighbours and their distance in Å.
Fractional positions:
Rb (0.2717, 0.8384, 0.4568)  1 O 2.81
Rb (0.8411, 0.7345, 0.5468)  1 O 2.87
Rb (0.4073, 0.5244, 0.7690)  1 O 2.83
Rb (0.0927, 0.0244, 0.7310)  1 O 2.83
Rb (0.3411, 0.7655, 0.0468)  1 O 2.87
Rb (0.7283, 0.1616, 0.5432)  1 O 2.81
Rb (0.1589, 0.2655, 0.4532)  1 O 2.87
Rb (0.9073, 0.9756, 0.2690)  1 O 2.83
Rb (0.6589, 0.2345, 0.9532)  1 O 2.87
Rb (0.7717, 0.6616, 0.9568)  1 O 2.81
Rb (0.5927, 0.4756, 0.2310)  1 O 2.83
Rb (0.2283, 0.3384, 0.0432)  1 O 2.81
I (0.9659, 0.4136, 0.7486)  8 Rb 3.76-4.16
I (0.5341, 0.9136, 0.7514)  8 Rb 3.76-4.16
I (0.4659, 0.0864, 0.2486)  8 Rb 3.76-4.16
I (0.0341, 0.5864, 0.2514)  8 Rb 3.76-4.16
O (0.0000, 0.0000, 0.5000)  6 Rb 2.81-2.87
O (0.5000, 0.5000, 0.0000)  6 Rb 2.81-2.87


Computed, not measured: an optimized crystal structure of Rb3IO at the PBE-GGA level of DFT.

Properties
For the uncorrected formation energy, the calculation gives -1196.4 meV per atom.

Cell lengths 7.0931, 7.9780, 7.9780 Å; angles 120.00, 90.00, 90.00 degrees
Last column: nearest neighbours and their distance in Å.
Fractional positions:
O (0.5000, 0.0000, 0.0000)  6 Rb 2.71
O (0.0000, 0.0000, 0.0000)  6 Rb 2.71
Rb (0.2500, 0.1485, 0.2970)  2 O 2.71
Rb (0.2500, 0.1485, 0.8515)  2 O 2.71
Rb (0.7500, 0.8515, 0.7030)  2 O 2.71
Rb (0.7500, 0.8515, 0.1485)  2 O 2.71
Rb (0.2500, 0.7030, 0.8515)  2 O 2.71
Rb (0.7500, 0.2970, 0.1485)  2 O 2.71
I (0.2500, 0.6667, 0.3333)  12 Rb 4.00-4.37
I (0.7500, 0.3333, 0.6667)  12 Rb 4.00-4.37


Computed, not measured: an optimized crystal structure of Rb6I2O at the PBE-GGA level of DFT.

Properties
For the uncorrected formation energy, the calculation gives -923.0 meV per atom. Its offset from the most stable computed form is 0.14 eV/f.u.

Cell lengths 8.5508, 8.5508, 8.5508 Å; angles 60.00, 60.00, 60.00 degrees
Last column: nearest neighbours and their distance in Å.
Fractional positions:
Rb (0.2314, 0.7686, 0.2314)  1 O 2.80
Rb (0.7686, 0.2314, 0.7686)  1 O 2.80
Rb (0.2314, 0.7686, 0.7686)  1 O 2.80
Rb (0.2314, 0.2314, 0.7686)  1 O 2.80
Rb (0.7686, 0.2314, 0.2314)  1 O 2.80
Rb (0.7686, 0.7686, 0.2314)  1 O 2.80
O (0.0000, 0.0000, 0.0000)  6 Rb 2.80
I (0.7500, 0.7500, 0.7500)  12 Rb 4.28
I (0.2500, 0.2500, 0.2500)  12 Rb 4.28


Computed, not measured: an optimized crystal structure of Rb10I4O3 at the PBE-GGA level of DFT.

Properties
For the uncorrected formation energy, the calculation gives -1226.5 meV per atom.

Cell lengths 5.6577, 5.6577, 20.9751 Å; angles 97.75, 97.75, 90.00 degrees
Last column: nearest neighbours and their distance in Å.
Fractional positions:
I (0.5684, 0.5684, 0.1367)  12 Rb 3.99-4.02
I (0.4316, 0.4316, 0.8633)  12 Rb 3.99-4.02
I (0.2980, 0.2980, 0.5960)  9 Rb 3.85-4.00
I (0.7020, 0.7020, 0.4040)  9 Rb 3.85-4.00
O (0.8612, 0.8612, 0.7224)  6 Rb 2.70-2.87
O (0.0000, 0.0000, 0.0000)  6 Rb 2.83-2.85
O (0.1388, 0.1388, 0.2776)  6 Rb 2.70-2.87
Rb (0.2044, 0.2044, 0.4088)  1 O 2.70
Rb (0.6376, 0.1376, 0.2752)  2 O 2.83
Rb (0.8624, 0.3624, 0.7248)  2 O 2.83
Rb (0.5000, 0.0000, 0.0000)  2 O 2.83
Rb (0.3624, 0.8624, 0.7248)  2 O 2.83
Rb (0.7956, 0.7956, 0.5912)  1 O 2.70
Rb (0.9309, 0.9309, 0.8618)  2 O 2.85-2.87
Rb (0.1376, 0.6376, 0.2752)  2 O 2.83
Rb (0.0000, 0.5000, 0.0000)  2 O 2.83
Rb (0.0691, 0.0691, 0.1382)  2 O 2.85-2.87


Computed, not measured: an optimized crystal structure of Rb10I2O3 at the PBE-GGA level of DFT.

Properties
For the uncorrected formation energy, the calculation gives -942.0 meV per atom.

Cell lengths 8.2921, 12.9849, 14.1114 Å; angles 109.84, 107.09, 90.00 degrees
Last column: nearest neighbours and their distance in Å.
Fractional positions:
O (0.8246, 0.9740, 0.6493)  3 Rb 2.62-2.74
O (0.7519, 0.0000, 0.0000)  6 Rb 2.75-2.89
O (0.9159, 0.4438, 0.8318)  5 Rb 2.63-2.74
O (0.1754, 0.0260, 0.3507)  3 Rb 2.62-2.74
O (0.0841, 0.5562, 0.1682)  5 Rb 2.63-2.74
O (0.2481, 0.0000, 0.0000)  6 Rb 2.75-2.89
Rb (0.8625, 0.0447, 0.2256)  2 O 2.74-2.89
Rb (0.3640, 0.5097, 0.2852)  1 O 2.63
Rb (0.2296, 0.2384, 0.4593)  1 O 2.62
Rb (0.7704, 0.7616, 0.5407)  1 O 2.62
Rb (0.0163, 0.1494, 0.0326)  2 O 2.75
Rb (0.6360, 0.4903, 0.7148)  1 O 2.63
Rb (0.9837, 0.8506, 0.9674)  2 O 2.75
Rb (0.1305, 0.7808, 0.2609)  2 O 2.73-2.98
Rb (0.4898, 0.8518, 0.9796)  2 O 2.79
Rb (0.0788, 0.4903, 0.7148)  1 O 2.63
Rb (0.0000, 0.0000, 0.5000)  2 O 2.99
Rb (0.7913, 0.5000, 0.0000)  2 O 2.74
Rb (0.1375, 0.9553, 0.7744)  2 O 2.74-2.89
Rb (0.8695, 0.2192, 0.7391)  2 O 2.73-2.98
Rb (0.3631, 0.0447, 0.2256)  2 O 2.74-2.89
Rb (0.5102, 0.1482, 0.0204)  2 O 2.79
Rb (0.9212, 0.5097, 0.2852)  1 O 2.63
Rb (0.5000, 0.0000, 0.5000)  2 O 2.99
Rb (0.6369, 0.9553, 0.7744)  2 O 2.74-2.89
Rb (0.2087, 0.5000, 0.0000)  2 O 2.74
I (0.3679, 0.1988, 0.7358)  8 Rb 3.90-4.15
I (0.2658, 0.7653, 0.5315)  7 Rb 3.73-4.15
I (0.6321, 0.8012, 0.2642)  8 Rb 3.90-4.15
I (0.7342, 0.2347, 0.4685)  7 Rb 3.73-4.15


Computed, not measured: an optimized crystal structure of Rb12I3O4 at the PBE-GGA level of DFT.

Properties
For the uncorrected formation energy, the calculation gives -1063.4 meV per atom.

Cell lengths 9.8480, 9.8480, 9.8480 Å; angles 109.47, 109.47, 109.47 degrees
Last column: nearest neighbours and their distance in Å.
Fractional positions:
O (0.5000, 0.5000, 0.5000)  6 Rb 2.84
O (0.0000, 0.0000, 0.5000)  6 Rb 2.84
O (0.5000, 0.0000, 0.0000)  6 Rb 2.84
O (0.0000, 0.5000, 0.0000)  6 Rb 2.84
Rb (0.2532, 0.5029, 0.2497)  2 O 2.84
Rb (0.9965, 0.2497, 0.7468)  2 O 2.84
Rb (0.2497, 0.2532, 0.5029)  2 O 2.84
Rb (0.7468, 0.4971, 0.7503)  2 O 2.84
Rb (0.2532, 0.0035, 0.7503)  2 O 2.84
Rb (0.7468, 0.9965, 0.2497)  2 O 2.84
Rb (0.2497, 0.7468, 0.9965)  2 O 2.84
Rb (0.7503, 0.2532, 0.0035)  2 O 2.84
Rb (0.0035, 0.7503, 0.2532)  2 O 2.84
Rb (0.7503, 0.7468, 0.4971)  2 O 2.84
Rb (0.5029, 0.2497, 0.2532)  2 O 2.84
Rb (0.4971, 0.7503, 0.7468)  2 O 2.84
I (0.0000, 0.5000, 0.5000)  12 Rb 3.99-4.05
I (0.5000, 0.0000, 0.5000)  12 Rb 3.99-4.05
I (0.5000, 0.5000, 0.0000)  12 Rb 3.99-4.05


uncorrected formation energy of number 4 (Rb10I4O3)?
-1226.5 meV per atom


The highest uncorrected formation energy belongs to which entry?
number 3